Computed, not measured: crystalline Pm2NdAl2Zn2 at its relaxed geometry at the PBE level of DFT.

## Properties
space group	R-3m

Unit cell a=4.574 b=4.574 c=9.751 alpha=76.44 beta=76.44 gamma=60.00
Element x y z (fractional)
Al (0.737, 0.737, 0.790)
Pm (0.871, 0.871, 0.386)
Zn (0.401, 0.401, 0.796)
Zn (0.599, 0.599, 0.204)
Nd (0.000, 0.000, 0.000)
Al (0.263, 0.263, 0.210)
Pm (0.129, 0.129, 0.614)

---

Computed, not measured: crystalline La2Ga2I at its relaxed geometry at the PBE level of DFT.

## Properties
space group	P4/mbm

Unit cell a=8.791 b=8.791 c=3.973 alpha=90.00 beta=90.00 gamma=90.00
Element x y z (fractional)
Ga (0.897, 0.397, 0.500)
I (0.500, 0.500, 0.000)
Ga (0.397, 0.103, 0.500)
Ga (0.603, 0.897, 0.500)
La (0.813, 0.687, 0.000)
La (0.687, 0.187, 0.000)
La (0.187, 0.313, 0.000)
Ga (0.103, 0.603, 0.500)
I (0.000, 0.000, 0.000)
La (0.313, 0.813, 0.000)

---

Number 1: DFT total energy -3.781 eV/atom. Number 2: DFT total energy -4.125 eV/atom.